Entry from the Alexandria database: a relaxed structure of ZnReHg2 (PBE).

Cell: 10.031 10.031 10.031 Å, 16.88 16.88 16.88°
Fractional positions:
Zn  0.000  0.000  0.000
Re  0.264  0.264  0.264
Hg  0.514  0.514  0.514
Hg  0.750  0.750  0.750

ΔH_f (0 K): 506 meV per atom

=====

Entry from the Alexandria database: a relaxed structure of Zn2ReHg (PBE).

Cell: 9.567 9.567 9.567 Å, 17.24 17.24 17.24°
Fractional positions:
Zn  0.243  0.243  0.243
Zn  0.757  0.757  0.757
Re  0.500  0.500  0.500
Hg  0.000  0.000  0.000

ΔH_f (0 K): 327 meV per atom

=====

Entry from the Alexandria database: a relaxed structure of Zn2ReHg (PBE).

Cell: 2.787 2.787 8.537 Å, 90.00 90.00 90.00°
Fractional positions:
Zn  0.000  0.000  0.000
Zn  0.500  0.500  0.227
Re  0.500  0.500  0.774
Hg  0.000  0.000  0.501

ΔH_f (0 K): 507 meV per atom

=====

Entry from the Alexandria database: a relaxed structure of ZnReHg2 (PBE).

Cell: 2.816 4.338 6.167 Å, 90.00 103.06 90.00°
Fractional positions:
Zn  0.000  0.000  0.000
Re  0.427  0.500  0.850
Hg  0.145  0.500  0.296
Hg  0.784  0.000  0.564

ΔH_f (0 K): 633 meV per atom

=====

Entry from the Alexandria database: a relaxed structure of ZnReHg2 (PBE).

Cell: 2.991 2.991 9.812 Å, 90.00 90.00 122.54°
Fractional positions:
Zn  0.000  0.000  0.000
Re  0.000  0.000  0.500
Hg  0.500  0.500  0.246
Hg  0.500  0.500  0.754

ΔH_f (0 K): 645 meV per atom

=====

Entry from the Alexandria database: a relaxed structure of ZnReHg2 (PBE).

Cell: 2.875 2.875 9.175 Å, 90.00 90.00 90.00°
Fractional positions:
Zn  0.000  0.000  0.000
Re  0.500  0.500  0.806
Hg  0.000  0.000  0.565
Hg  0.500  0.500  0.260

ΔH_f (0 K): 560 meV per atom

=====

Copy entry 6 word for word.
Entry from the Alexandria database: a relaxed structure of ZnReHg2 (PBE).

Cell: 2.875 2.875 9.175 Å, 90.00 90.00 90.00°
Fractional positions:
Zn  0.000  0.000  0.000
Re  0.500  0.500  0.806
Hg  0.000  0.000  0.565
Hg  0.500  0.500  0.260

ΔH_f (0 K): 560 meV per atom

=====

Please write out number 5 again, unchanged.
Entry from the Alexandria database: a relaxed structure of ZnReHg2 (PBE).

Cell: 2.991 2.991 9.812 Å, 90.00 90.00 122.54°
Fractional positions:
Zn  0.000  0.000  0.000
Re  0.000  0.000  0.500
Hg  0.500  0.500  0.246
Hg  0.500  0.500  0.754

ΔH_f (0 K): 645 meV per atom

=====

What did the fourth record say?
Entry from the Alexandria database: a relaxed structure of ZnReHg2 (PBE).

Cell: 2.816 4.338 6.167 Å, 90.00 103.06 90.00°
Fractional positions:
Zn  0.000  0.000  0.000
Re  0.427  0.500  0.850
Hg  0.145  0.500  0.296
Hg  0.784  0.000  0.564

ΔH_f (0 K): 633 meV per atom